Entry 1:
A plane-wave DFT calculation with PBE-GGA was carried out for crystalline La2Ho4Tm3 at its relaxed geometry.

Unit cell a=10.072 b=8.520 c=6.880 alpha=80.92 beta=56.66 gamma=42.42
Fractional coordinates of all 9 atoms:
La (0.115, 0.115, 0.885)
La (0.885, 0.885, 0.115)
Ho (0.168, 0.457, 0.543)
Ho (0.457, 0.168, 0.832)
Ho (0.543, 0.832, 0.168)
Ho (0.832, 0.543, 0.457)
Tm (0.000, 0.000, 0.500)
Tm (0.500, 0.500, 0.000)
Tm (0.500, 0.500, 0.500)

- DFT formation energy (eV/atom) = 0.178
- density (g cm⁻³) = 8.03
- E above lowest polymorph (kJ/mol of atoms) = 12.57
- total energy (Ha/atom) = -0.163



Entry 2:
A plane-wave DFT calculation with PBE-GGA was carried out for crystalline LaHoTm at its relaxed geometry.

Unit cell a=3.601 b=3.601 c=15.158 alpha=90.00 beta=90.00 gamma=90.00
Fractional coordinates of all 6 atoms:
La (0.000, 0.000, 0.000)
La (0.500, 0.500, 0.500)
Ho (0.000, 0.000, 0.329)
Ho (0.500, 0.500, 0.829)
Tm (0.000, 0.000, 0.670)
Tm (0.500, 0.500, 0.170)

- DFT formation energy (eV/atom) = 0.036
- density (g cm⁻³) = 7.99
- E above lowest polymorph (kJ/mol of atoms) = 0.11
- total energy (Ha/atom) = -0.170



Entry 3:
A plane-wave DFT calculation with PBE-GGA was carried out for crystalline La2HoTm3 at its relaxed geometry.

Unit cell a=6.670 b=6.679 c=8.999 alpha=97.65 beta=97.77 gamma=95.27
Fractional coordinates of all 12 atoms:
La (0.125, 0.125, 0.375)
La (0.375, 0.375, 0.125)
La (0.625, 0.625, 0.875)
La (0.875, 0.875, 0.625)
Ho (0.080, 0.414, 0.749)
Ho (0.920, 0.586, 0.251)
Tm (0.165, 0.832, 0.997)
Tm (0.335, 0.668, 0.503)
Tm (0.420, 0.086, 0.751)
Tm (0.580, 0.914, 0.249)
Tm (0.665, 0.332, 0.497)
Tm (0.835, 0.168, 0.003)

- DFT formation energy (eV/atom) = 0.079
- density (g cm⁻³) = 8.06
- E above lowest polymorph (kJ/mol of atoms) = 0.00
- total energy (Ha/atom) = -0.168



Entry 4:
A plane-wave DFT calculation with PBE-GGA was carried out for crystalline LaHo5Tm2 at its relaxed geometry.

Unit cell a=7.099 b=14.205 c=4.998 alpha=90.00 beta=90.00 gamma=90.00
Fractional coordinates of all 16 atoms:
La (0.000, 0.000, 0.000)
La (0.500, 0.500, 0.000)
Ho (0.000, 0.500, 0.000)
Ho (0.001, 0.252, 0.000)
Ho (0.247, 0.627, 0.500)
Ho (0.253, 0.127, 0.500)
Ho (0.499, 0.752, 0.000)
Ho (0.500, 0.000, 0.000)
Ho (0.501, 0.248, 0.000)
Ho (0.747, 0.873, 0.500)
Ho (0.753, 0.373, 0.500)
Ho (0.999, 0.748, 0.000)
Tm (0.250, 0.373, 0.500)
Tm (0.250, 0.873, 0.500)
Tm (0.750, 0.127, 0.500)
Tm (0.750, 0.627, 0.500)

- DFT formation energy (eV/atom) = 0.027
- density (g cm⁻³) = 8.58
- total energy (Ha/atom) = -0.168



Entry 5:
A plane-wave DFT calculation with PBE-GGA was carried out for crystalline LaHo3Tm2 at its relaxed geometry.

Unit cell a=9.432 b=9.432 c=11.524 alpha=90.00 beta=90.00 gamma=158.16
Fractional coordinates of all 12 atoms:
La (0.221, 0.779, 0.750)
La (0.779, 0.221, 0.250)
Ho (0.107, 0.893, 0.250)
Ho (0.336, 0.664, 0.504)
Ho (0.336, 0.664, 0.996)
Ho (0.664, 0.336, 0.004)
Ho (0.664, 0.336, 0.496)
Ho (0.893, 0.107, 0.750)
Tm (0.000, 0.000, 0.000)
Tm (0.000, 0.000, 0.500)
Tm (0.446, 0.554, 0.250)
Tm (0.554, 0.446, 0.750)

- DFT formation energy (eV/atom) = 0.024
- density (g cm⁻³) = 8.46
- E above lowest polymorph (kJ/mol of atoms) = 0.67
- total energy (Ha/atom) = -0.168



Entry 6:
A plane-wave DFT calculation with PBE-GGA was carried out for crystalline La2Ho7Tm4 at its relaxed geometry.

Unit cell a=6.050 b=6.050 c=13.288 alpha=90.00 beta=90.00 gamma=120.00
Fractional coordinates of all 13 atoms:
La (0.333, 0.667, 0.000)
La (0.667, 0.333, 0.000)
Ho (0.000, 0.000, 0.000)
Ho (0.000, 0.353, 0.218)
Ho (0.000, 0.647, 0.782)
Ho (0.353, 0.000, 0.218)
Ho (0.353, 0.353, 0.782)
Ho (0.647, 0.000, 0.782)
Ho (0.647, 0.647, 0.218)
Tm (0.000, 0.000, 0.396)
Tm (0.000, 0.000, 0.604)
Tm (0.333, 0.667, 0.500)
Tm (0.667, 0.333, 0.500)

- DFT formation energy (eV/atom) = 0.207
- density (g cm⁻³) = 8.31
- total energy (Ha/atom) = -0.161



Entry 7:
A plane-wave DFT calculation with PBE-GGA was carried out for crystalline La2HoTm6 at its relaxed geometry.

Unit cell a=9.759 b=9.759 c=3.460 alpha=90.00 beta=90.00 gamma=120.00
Fractional coordinates of all 9 atoms:
La (0.333, 0.667, 0.000)
La (0.667, 0.333, 0.000)
Ho (0.000, 0.000, 0.000)
Tm (0.000, 0.330, 0.500)
Tm (0.000, 0.670, 0.500)
Tm (0.330, 0.000, 0.500)
Tm (0.330, 0.330, 0.500)
Tm (0.670, 0.000, 0.500)
Tm (0.670, 0.670, 0.500)

- DFT formation energy (eV/atom) = 0.082
- density (g cm⁻³) = 8.47
- E above lowest polymorph (kJ/mol of atoms) = 0.64
- total energy (Ha/atom) = -0.165



Entry 8:
A plane-wave DFT calculation with PBE-GGA was carried out for crystalline La3Ho4Tm at its relaxed geometry.

Unit cell a=11.495 b=6.753 c=6.858 alpha=90.00 beta=90.00 gamma=90.00
Fractional coordinates of all 16 atoms:
La (0.000, 0.207, 0.000)
La (0.229, 0.550, 0.259)
La (0.271, 0.450, 0.759)
La (0.500, 0.793, 0.500)
La (0.729, 0.450, 0.759)
La (0.771, 0.550, 0.259)
Ho (0.000, 0.321, 0.517)
Ho (0.000, 0.834, 0.366)
Ho (0.231, 0.975, 0.641)
Ho (0.269, 0.025, 0.141)
Ho (0.500, 0.166, 0.866)
Ho (0.500, 0.679, 0.017)
Ho (0.731, 0.025, 0.141)
Ho (0.769, 0.975, 0.641)
Tm (0.000, 0.715, 0.871)
Tm (0.500, 0.285, 0.371)

- DFT formation energy (eV/atom) = 0.075
- density (g cm⁻³) = 7.77
- E above lowest polymorph (kJ/mol of atoms) = 0.00
- total energy (Ha/atom) = -0.170



Entry 9:
A plane-wave DFT calculation with PBE-GGA was carried out for crystalline LaHo2Tm at its relaxed geometry.

Unit cell a=3.465 b=3.465 c=37.158 alpha=90.00 beta=90.00 gamma=120.00
Fractional coordinates of all 12 atoms:
La (0.000, 0.000, 0.000)
La (0.333, 0.667, 0.667)
La (0.667, 0.333, 0.333)
Ho (0.000, 0.000, 0.091)
Ho (0.000, 0.000, 0.909)
Ho (0.333, 0.667, 0.576)
Ho (0.333, 0.667, 0.758)
Ho (0.667, 0.333, 0.242)
Ho (0.667, 0.333, 0.424)
Tm (0.000, 0.000, 0.500)
Tm (0.333, 0.667, 0.167)
Tm (0.667, 0.333, 0.833)

- DFT formation energy (eV/atom) = 0.128
- density (g cm⁻³) = 8.22
- E above lowest polymorph (kJ/mol of atoms) = 11.56
- total energy (Ha/atom) = -0.166



Entry 10:
A plane-wave DFT calculation with PBE-GGA was carried out for crystalline La3Ho3Tm5 at its relaxed geometry.

Unit cell a=9.671 b=9.671 c=5.320 alpha=90.00 beta=90.00 gamma=120.00
Fractional coordinates of all 11 atoms:
La (0.000, 0.356, 0.000)
La (0.356, 0.000, 0.000)
La (0.644, 0.644, 0.000)
Ho (0.000, 0.517, 0.500)
Ho (0.483, 0.483, 0.500)
Ho (0.517, 0.000, 0.500)
Tm (0.000, 0.716, 0.000)
Tm (0.284, 0.284, 0.000)
Tm (0.333, 0.667, 0.000)
Tm (0.667, 0.333, 0.000)
Tm (0.716, 0.000, 0.000)

- DFT formation energy (eV/atom) = 0.803
- density (g cm⁻³) = 6.77
- total energy (Ha/atom) = -0.140



Entry 11:
A plane-wave DFT calculation with PBE-GGA was carried out for crystalline La8Ho3Tm at its relaxed geometry.

Unit cell a=8.582 b=8.582 c=8.582 alpha=117.95 beta=117.95 gamma=93.60
Fractional coordinates of all 12 atoms:
La (0.127, 0.127, 0.753)
La (0.249, 0.748, 0.000)
La (0.252, 0.252, 0.501)
La (0.373, 0.373, 0.247)
La (0.627, 0.873, 0.000)
La (0.748, 0.249, 0.000)
La (0.751, 0.751, 0.499)
La (0.873, 0.627, 0.000)
Ho (0.000, 0.000, 0.000)
Ho (0.250, 0.750, 0.500)
Ho (0.750, 0.250, 0.500)
Tm (0.500, 0.500, 0.000)

- DFT formation energy (eV/atom) = 0.530
- density (g cm⁻³) = 6.41
- total energy (Ha/atom) = -0.157



Entry 12:
A plane-wave DFT calculation with PBE-GGA was carried out for crystalline LaHo4Tm10 at its relaxed geometry.

Unit cell a=9.583 b=9.583 c=9.583 alpha=96.47 beta=96.47 gamma=140.78
Fractional coordinates of all 15 atoms:
La (0.000, 0.000, 0.000)
Ho (0.326, 0.433, 0.758)
Ho (0.433, 0.674, 0.107)
Ho (0.567, 0.326, 0.893)
Ho (0.674, 0.567, 0.242)
Tm (0.041, 0.621, 0.162)
Tm (0.120, 0.959, 0.580)
Tm (0.250, 0.750, 0.500)
Tm (0.379, 0.540, 0.420)
Tm (0.460, 0.880, 0.838)
Tm (0.540, 0.120, 0.162)
Tm (0.621, 0.460, 0.580)
Tm (0.750, 0.250, 0.500)
Tm (0.880, 0.041, 0.420)
Tm (0.959, 0.379, 0.838)

- DFT formation energy (eV/atom) = 0.564
- density (g cm⁻³) = 7.88
- total energy (Ha/atom) = -0.146



- Among the records above, which one has the lowest DFT formation energy?
  LaHo3Tm2